The following is a DFT calculation (PBE-GGA) of a geometry-optimized Zn2Ga4Rh structure.

Output
DFT formation energy: 80 meV per atom
ρ: 7.14 g/cm³

Lattice parameters (Å, degrees): 6.9011 6.9011 5.4850 128.98 128.98 90.00
Last column: nearest neighbours and their distance in Å.
Fractional positions:
Rh  0.5000  0.5000  0.0000  4 Ga 2.63
Zn  0.2500  0.7500  0.5000  2 Zn 2.50, 4 Ga 2.60
Zn  0.7500  0.2500  0.5000  2 Zn 2.50, 4 Ga 2.60
Ga  0.6954  0.6954  0.7625  2 Zn 2.60, 1 Rh 2.63, 4 Ga 2.80-2.83
Ga  0.0671  0.0671  0.7625  2 Zn 2.60, 1 Rh 2.63, 4 Ga 2.80-2.83
Ga  0.3046  0.9329  0.2375  2 Zn 2.60, 1 Rh 2.63, 4 Ga 2.80-2.83
Ga  0.9329  0.3046  0.2375  2 Zn 2.60, 1 Rh 2.63, 4 Ga 2.80-2.83